22
Lattice="3.733 -5.174 0.000 3.733 5.174 0.000 0.000 0.000 7.379" Properties=species:S:1:pos:R:3 comment="Er3SeO7 (PBE-GGA, optimized geometry)" m_tot_mub_per_fu=0.000 spacegroup="C222_1, No. 20" dos_at_fermi_per_ev_atom=0.24 e_form_raw_mev_per_atom=-2655 pbc="T T T"
Er 1.984 2.408 1.884
Er 0.279 0.000 0.000
Er 1.984 -2.408 5.495
Er 5.482 2.408 1.806
Er 7.187 0.000 3.690
Er 5.482 -2.408 5.573
Se 3.683 0.000 3.690
Se 3.784 0.000 0.000
O 3.733 3.827 5.534
O 3.733 3.730 1.845
O 2.205 1.304 7.217
O 2.396 1.292 3.934
O 2.205 -1.304 0.162
O 3.733 0.622 1.845
O 2.396 -1.292 3.445
O 5.070 1.292 7.135
O 3.733 -0.622 5.534
O 5.262 1.304 3.852
O 5.070 -1.292 0.244
O 5.262 -1.304 3.527
O 3.733 -3.730 5.534
O 3.733 -3.827 1.845

=====

10
Lattice="6.251 -2.841 0.000 6.251 2.841 0.000 -4.039 0.000 6.782" Properties=species:S:1:pos:R:3 comment="Er2Se2O (PBE-GGA, optimized geometry)" m_tot_mub_per_fu=0.000 spacegroup="C2/m, No. 12" relative_energy_mev_per_atom=0 dos_at_fermi_per_ev_atom=0.00 e_form_raw_mev_per_atom=-2456 pbc="T T T"
Er -0.913 0.000 2.168
Er 0.285 0.000 5.988
Er 8.178 0.000 0.794
Er 9.375 0.000 4.614
Se 1.814 0.000 0.685
Se 2.825 0.000 4.866
Se 5.637 0.000 1.917
Se 6.648 0.000 6.097
O -0.999 0.000 4.306
O 9.462 0.000 2.476